# 1
A plane-wave DFT calculation with GGA-PBE was carried out for a relaxed PmSm2Cu crystal.

Properties
Its offset from the most stable computed form is 22 meV per atom. For the formation enthalpy at 0 K, the calculation gives -0.05 eV/atom. As for the energy: -4.6183 eV per atom.

a b c (Å): 4.988 6.423 7.668
angles (deg): 90.00 90.00 112.79
Fractional positions:
Sm1 0.353 0.707 0.530
Sm2 0.647 0.293 0.030
Sm3 0.353 0.707 0.970
Sm4 0.647 0.293 0.470
Pm1 0.953 0.906 0.250
Pm2 0.047 0.094 0.750
Cu1 0.200 0.401 0.250
Cu2 0.800 0.599 0.750

=====

# 2
A plane-wave DFT calculation with GGA-PBE was carried out for a relaxed Pm2Sm2Cu crystal.

Properties
For the formation enthalpy at 0 K, the calculation gives -0.05 eV/atom. As for the energy: -4.6555 eV per atom.

a b c (Å): 3.600 3.600 11.670
angles (deg): 98.87 98.87 90.00
Fractional positions:
Pm1 0.193 0.193 0.387
Pm2 0.807 0.807 0.613
Sm1 0.576 0.576 0.151
Sm2 0.424 0.424 0.849
Cu1 0.000 0.000 0.000